Material: Fe5Co
Method: DFT, SCAN
State: PBEsol geometry

Summary:
crystal system: orthorhombic
DFT total energy: -18.092 eV per atom
energy of formation from the pure elements: -9.62 kJ/mol of atoms

Lattice parameters (Å, degrees): 2.784 3.953 6.262 108.40 90.00 90.00
Last column: magnetic moment on the atom in μB.
Sites, in units of the cell vectors:
Co 0.000 0.000 0.000  1.75
Fe 0.500 0.834 0.667  2.67
Fe 0.500 0.166 0.333  2.67
Fe 0.500 0.500 0.000  2.75
Fe 0.000 0.334 0.667  2.54
Fe 0.000 0.666 0.333  2.54

Material: CuOs2Ru
Method: DFT, SCAN
State: PBEsol geometry

Summary:
crystal system: tetragonal
DFT total energy: -48.082 eV per atom
energy of formation from the pure elements: 35.16 kJ/mol of atoms
distance to the lowest polymorph of the same formula: 0.45 eV/f.u.

Lattice parameters (Å, degrees): 3.704 3.704 4.675 113.34 113.34 90.00
Sites, in units of the cell vectors:
Os 0.000 0.000 0.000
Os 0.750 0.250 0.500
Ru 0.500 0.500 0.000
Cu 0.250 0.750 0.500

Q: Look up the energy of formation from the pure elements of the first one.
A: -9.62 kJ/mol of atoms

Q: DFT total energy of number 1 (Fe5Co)?
A: -18.092 eV per atom

Q: Among the records above, which one has the lowest DFT total energy?
A: CuOs2Ru

Q: Which of these has the highest DFT total energy?
A: Fe5Co